(1)
Entry from Alexandria: crystalline HfCd2Au6 at its relaxed geometry (PBE).

E_form in eV/atom: -0.25
Volume in A^3/atom: 19.174
Total energy in eV/cell: -67.44

Lattice parameters (Å, degrees): 8.491 8.491 5.049 98.24 98.24 74.52
Atoms (fractional coordinates):
Hf  0.134  0.866  0.750
Hf  0.866  0.134  0.250
Cd  0.206  0.458  0.920
Cd  0.458  0.206  0.420
Cd  0.542  0.794  0.580
Cd  0.794  0.542  0.080
Au  0.006  0.780  0.197
Au  0.088  0.349  0.360
Au  0.220  0.994  0.303
Au  0.317  0.571  0.473
Au  0.349  0.088  0.860
Au  0.429  0.683  0.027
Au  0.571  0.317  0.973
Au  0.651  0.912  0.140
Au  0.683  0.429  0.527
Au  0.780  0.006  0.697
Au  0.912  0.651  0.640
Au  0.994  0.220  0.803


(2)
Entry from Alexandria: crystalline SrCd2HgPd at its relaxed geometry (PBE).

E_form in eV/atom: -0.26
Volume in A^3/atom: 28.801
ΔE to the lowest computed polymorph in eV per atom: 0.000
Total energy in eV/cell: -10.30

Lattice parameters (Å, degrees): 5.209 5.209 5.308 90.00 90.00 90.00
Atoms (fractional coordinates):
Sr  0.000  0.000  0.000
Cd  0.000  0.500  0.500
Cd  0.500  0.000  0.500
Hg  0.500  0.500  0.000
Pd  0.500  0.500  0.500


(3)
Entry from Alexandria: crystalline Th3SiAs at its relaxed geometry (PBE).

Volume in A^3/atom: 30.363
Energy relative to the elements, uncorrected in meV/atom: -599
Total energy in eV/cell: -70.65

Lattice parameters (Å, degrees): 7.209 7.212 7.921 90.05 117.04 119.97
Atoms (fractional coordinates):
Th  0.003  0.410  0.256
Th  0.338  0.248  0.744
Th  0.347  0.094  0.256
Th  0.653  0.906  0.744
Th  0.662  0.752  0.256
Th  0.997  0.590  0.744
Si  0.164  0.832  0.496
Si  0.836  0.168  0.504
As  0.164  0.332  0.996
As  0.836  0.668  0.004


(4)
Entry from Alexandria: crystalline Pu2VIr at its relaxed geometry (PBE).

E_form in eV/atom: 0.35
Volume in A^3/atom: 17.926
ΔE to the lowest computed polymorph in eV per atom: 0.379
Total energy in eV/cell: -45.24

Lattice parameters (Å, degrees): 10.340 10.340 10.340 15.83 15.83 15.83
Atoms (fractional coordinates):
Pu  0.084  0.084  0.084
Pu  0.916  0.916  0.916
V  0.000  0.000  0.000
Ir  0.500  0.500  0.500


(5)
Entry from Alexandria: crystalline AgC5 at its relaxed geometry (PBE).

E_form in eV/atom: 3.30
Volume in A^3/atom: 13.295
ΔE to the lowest computed polymorph in eV per atom: 2.427
Total energy in eV/cell: -29.18

Lattice parameters (Å, degrees): 3.491 3.491 7.560 90.00 90.00 120.00
Atoms (fractional coordinates):
Ag  0.000  0.000  0.000
C  0.000  0.500  0.500
C  0.333  0.667  0.000
C  0.500  0.000  0.500
C  0.500  0.500  0.500
C  0.667  0.333  0.000


(6)
Entry from Alexandria: crystalline Tl4Hg2IO at its relaxed geometry (PBE).

Volume in A^3/atom: 35.844
Energy relative to the elements, uncorrected in meV/atom: -303
Total energy in eV/cell: -38.01

Lattice parameters (Å, degrees): 9.560 9.560 7.325 112.11 112.11 84.95
Atoms (fractional coordinates):
Tl  0.142  0.158  0.897
Tl  0.158  0.142  0.397
Tl  0.203  0.794  0.995
Tl  0.206  0.797  0.505
Tl  0.794  0.203  0.495
Tl  0.797  0.206  0.005
Tl  0.842  0.858  0.603
Tl  0.858  0.842  0.103
Hg  0.000  0.500  0.000
Hg  0.500  0.000  0.500
Hg  0.500  0.500  0.000
Hg  0.500  0.500  0.500
I  0.000  0.500  0.500
I  0.500  0.000  0.000
O  0.000  0.000  0.000
O  0.000  0.000  0.500